1.
# AcCuPd (PBE-GGA, optimized geometry)
# Calculated volume = 287.9 Å³ per cell
# ΔE_f = -0.53 eV per atom
# E above lowest polymorph = 38.8 meV per atom
# N(E_F) = 5.73 states/eV per cell
data_AcCuPd
_cell_length_a 16.478
_cell_length_b 4.230
_cell_length_c 4.275
_cell_angle_alpha 90.00
_cell_angle_beta 104.93
_cell_angle_gamma 90.00
_symmetry_space_group_name_H-M 'C 1 2/m 1'
_symmetry_Int_Tables_number 12
loop_
_symmetry_equiv_pos_as_xyz
'x,y,z'
'-x,-y,-z'
'-x,y,-z'
'x,-y,z'
'x+1/2,y+1/2,z'
'-x+1/2,-y+1/2,-z'
'-x+1/2,y+1/2,-z'
'x+1/2,-y+1/2,z'
loop_
_atom_site_label
_atom_site_type_symbol
_atom_site_fract_x
_atom_site_fract_y
_atom_site_fract_z
Ac1 Ac 0.121 0.000 0.371
Cu1 Cu 0.213 0.500 0.962
Pd1 Pd 0.053 0.500 0.803

***

2.
# Ac3Cu2Pd4 (PBE-GGA, optimized geometry)
# Calculated volume = 432.6 Å³ per cell
# ΔE_f = -0.65 eV per atom
# N(E_F) = 6.15 states/eV per cell
data_Ac3Cu2Pd4
_cell_length_a 11.357
_cell_length_b 4.501
_cell_length_c 8.863
_cell_angle_alpha 90.00
_cell_angle_beta 107.28
_cell_angle_gamma 90.00
_symmetry_space_group_name_H-M 'C 1 2/m 1'
_symmetry_Int_Tables_number 12
loop_
_symmetry_equiv_pos_as_xyz
'x,y,z'
'-x,-y,-z'
'-x,y,-z'
'x,-y,z'
'x+1/2,y+1/2,z'
'-x+1/2,-y+1/2,-z'
'-x+1/2,y+1/2,-z'
'x+1/2,-y+1/2,z'
loop_
_atom_site_label
_atom_site_type_symbol
_atom_site_fract_x
_atom_site_fract_y
_atom_site_fract_z
Ac1 Ac 0.000 0.000 0.000
Ac2 Ac 0.166 0.500 0.670
Cu1 Cu 0.111 0.500 0.283
Pd1 Pd 0.061 0.000 0.386
Pd2 Pd 0.216 0.500 0.065